1.
VASP calculation (GGA-PBE) on a geometry-optimized SbRhSe structure. Values from VASP.

DOS at the Fermi energy, states/eV/atom: 0.312
Space group: F-43m (216)
Formation energy from raw total energies, eV/atom: -0.321

```
&SYSTEM
  ibrav = 0, nat = 3, ntyp = 3
/
ATOMIC_SPECIES
Sb 121.76 Sb.upf
Rh 102.91 Rh.upf
Se 78.96 Se.upf
CELL_PARAMETERS angstrom
0.0000 3.1625 3.1625
3.1625 0.0000 3.1625
3.1625 3.1625 0.0000
ATOMIC_POSITIONS angstrom
Sb 0.0000 0.0000 0.0000
Rh 4.7438 4.7438 4.7438
Se 3.1625 3.1625 3.1625
```



2.
VASP calculation (GGA-PBE) on a geometry-optimized SbRhSe2 structure. Values from VASP.

DOS at the Fermi energy, states/eV/atom: 0.594
Space group: Imm2 (44)
Formation energy from raw total energies, eV/atom: -0.038

```
&SYSTEM
  ibrav = 0, nat = 4, ntyp = 3
/
ATOMIC_SPECIES
Sb 121.76 Sb.upf
Rh 102.91 Rh.upf
Se 78.96 Se.upf
CELL_PARAMETERS angstrom
-1.6628 2.1609 5.9521
1.6628 -2.1609 5.9521
1.6628 2.1609 -5.9521
ATOMIC_POSITIONS angstrom
Sb 0.0000 0.0000 0.0000
Rh 0.0000 2.1609 3.7208
Se 1.6628 0.0000 3.9959
Se 0.0000 0.0000 7.6920
```



3.
VASP calculation (GGA-PBE) on a geometry-optimized Sb2RhSe structure. Values from VASP.

DOS at the Fermi energy, states/eV/atom: 0.499
Space group: Immm (71)
Formation energy from raw total energies, eV/atom: -0.042

```
&SYSTEM
  ibrav = 0, nat = 4, ntyp = 3
/
ATOMIC_SPECIES
Sb 121.76 Sb.upf
Rh 102.91 Rh.upf
Se 78.96 Se.upf
CELL_PARAMETERS angstrom
-1.6350 2.2620 6.1108
1.6350 -2.2620 6.1108
1.6350 2.2620 -6.1108
ATOMIC_POSITIONS angstrom
Sb 0.0000 0.0000 2.1856
Sb 0.0000 0.0000 10.0359
Rh 1.6350 0.0000 0.0000
Se 0.0000 2.2620 0.0000
```



4.
VASP calculation (GGA-PBE) on a geometry-optimized Sb4RhSe structure. Values from VASP.

DOS at the Fermi energy, states/eV/atom: 1.261
Space group: F-43m (216)
Formation energy from raw total energies, eV/atom: 0.750

```
&SYSTEM
  ibrav = 0, nat = 6, ntyp = 3
/
ATOMIC_SPECIES
Sb 121.76 Sb.upf
Rh 102.91 Rh.upf
Se 78.96 Se.upf
CELL_PARAMETERS angstrom
0.0000 4.2861 4.2861
4.2861 0.0000 4.2861
4.2861 4.2861 0.0000
ATOMIC_POSITIONS angstrom
Sb 1.0701 1.0701 1.0701
Sb 3.2159 3.2159 1.0701
Sb 3.2159 1.0701 3.2159
Sb 1.0701 3.2159 3.2159
Rh 4.2861 4.2861 4.2861
Se 6.4291 6.4291 6.4291
```



5.
VASP calculation (GGA-PBE) on a geometry-optimized SbRhSe2 structure. Values from VASP.

DOS at the Fermi energy, states/eV/atom: 0.505
Space group: Immm (71)
Formation energy from raw total energies, eV/atom: -0.147

```
&SYSTEM
  ibrav = 0, nat = 4, ntyp = 3
/
ATOMIC_SPECIES
Sb 121.76 Sb.upf
Rh 102.91 Rh.upf
Se 78.96 Se.upf
CELL_PARAMETERS angstrom
-1.8400 2.2553 5.8192
1.8400 -2.2553 5.8192
1.8400 2.2553 -5.8192
ATOMIC_POSITIONS angstrom
Sb 0.0000 0.0000 0.0000
Rh 0.0000 0.0000 5.8192
Se 1.8400 0.0000 4.0324
Se 0.0000 2.2553 1.7868
```



6.
VASP calculation (GGA-PBE) on a geometry-optimized Sb2RhSe structure. Values from VASP.

DOS at the Fermi energy, states/eV/atom: 0.707
Space group: Imm2 (44)
Formation energy from raw total energies, eV/atom: -0.031

```
&SYSTEM
  ibrav = 0, nat = 4, ntyp = 3
/
ATOMIC_SPECIES
Sb 121.76 Sb.upf
Rh 102.91 Rh.upf
Se 78.96 Se.upf
CELL_PARAMETERS angstrom
-1.8039 2.1996 5.8388
1.8039 -2.1996 5.8388
1.8039 2.1996 -5.8388
ATOMIC_POSITIONS angstrom
Sb 0.0000 0.0000 0.0000
Sb 0.0000 2.1996 2.0956
Rh 0.0000 0.0000 5.8019
Se 1.8039 0.0000 3.8682
```



In eV per cell, the E values for the records above are, in order, -15.9; -18.6; -19.2; -22.8; -19.0; -19.2.